# 1
## Ca6InAu2 (PBE)

Data for Ca6InAu2 after structural relaxation.

Calculated total energy ... -52.07 eV/cell
DOS at the Fermi energy ... 14.5 states/eV/cell
Calculated density ... 4.5 Mg/m³

Unit cell a=9.007 b=9.007 c=9.007 alpha=102.71 beta=111.35 gamma=114.57
Element x y z (fractional)
Ca1 0.193 0.756 0.949
Ca2 0.693 0.354 0.661
Au1 0.324 0.000 0.324
Ca3 0.307 0.646 0.339
Ca4 0.109 0.290 0.820
Ca5 0.307 0.968 0.661
Au2 0.500 0.366 0.866
Ca6 0.807 0.756 0.564
Au3 0.676 0.000 0.676
Au4 0.500 0.634 0.134
Ca7 0.891 0.710 0.180
In1 0.000 0.500 0.500
Ca8 0.693 0.032 0.339
Ca9 0.807 0.244 0.051
In2 0.000 0.000 0.000
Ca10 0.193 0.244 0.436
Ca11 0.530 0.710 0.820
Ca12 0.470 0.290 0.180

# 2
## Ca3InAu8 (PBE)

Data for Ca3InAu8 after structural relaxation.

Calculated total energy ... -41.29 eV/cell
DOS at the Fermi energy ... 3.8 states/eV/cell
Calculated density ... 11.6 Mg/m³

Unit cell a=5.659 b=5.659 c=9.877 alpha=73.35 beta=73.35 gamma=60.00
Element x y z (fractional)
Au1 0.438 0.438 0.183
Au2 0.438 0.942 0.183
Au3 0.688 0.688 0.936
Ca1 0.992 0.992 0.025
Ca2 0.507 0.507 0.479
Au4 0.942 0.438 0.183
Au5 0.188 0.188 0.436
In1 0.870 0.870 0.391
Au6 0.435 0.938 0.690
Au7 0.938 0.435 0.690
Au8 0.938 0.938 0.690
Ca3 0.378 0.378 0.866

# 3
## CaInAu5 (PBE)

Data for CaInAu5 after structural relaxation.

Calculated total energy ... -95.61 eV/cell
DOS at the Fermi energy ... 11.5 states/eV/cell
Calculated density ... 12.8 Mg/m³

Unit cell a=5.764 b=9.060 c=11.326 alpha=90.00 beta=90.00 gamma=90.00
Element x y z (fractional)
Au1 0.250 0.682 0.278
Au2 0.490 0.062 0.697
Au3 0.750 0.077 0.922
In1 0.250 0.348 0.653
Ca1 0.750 0.754 0.052
Au4 0.990 0.438 0.197
Au5 0.250 0.182 0.222
In2 0.750 0.152 0.153
Ca2 0.750 0.254 0.448
Au6 0.250 0.423 0.422
Au7 0.510 0.938 0.303
Ca3 0.250 0.246 0.948
Au8 0.010 0.562 0.803
Ca4 0.250 0.746 0.552
Au9 0.750 0.818 0.778
Au10 0.250 0.923 0.078
Au11 0.510 0.438 0.197
Au12 0.250 0.603 0.023
In3 0.750 0.652 0.347
Au13 0.010 0.062 0.697
Au14 0.250 0.103 0.477
Au15 0.990 0.938 0.303
In4 0.250 0.848 0.847
Au16 0.750 0.318 0.722
Au17 0.750 0.897 0.523
Au18 0.750 0.397 0.977
Au19 0.750 0.577 0.578
Au20 0.490 0.562 0.803